Material: Cs2BeV3F12
Method: DFT, PBE+U
State: relaxed

Geometry as POSCAR:
```
Cs2BeV3F12
1.0
3.7090 2.1414 5.8034
-3.7090 2.1414 5.8034
0.0000 -4.2828 5.8034
Cs Be V F
2 1 3 12
Cartesian
0.0000 0.0000 2.3203 Cs
0.0000 0.0000 15.0899 Cs
0.0000 0.0000 8.7051 Be
-1.8545 -1.0707 5.8034 V
-1.8545 1.0707 11.6068 V
0.0000 2.1414 5.8034 V
0.0000 -1.6645 5.2486 F
-1.4415 0.8323 5.2486 F
-1.2779 -0.7378 7.6866 F
-1.4415 -0.8323 12.1617 F
0.0000 -1.4756 9.7237 F
-1.2779 0.7378 9.7237 F
1.2779 -0.7378 7.6866 F
0.0000 1.4756 7.6866 F
1.4415 0.8323 5.2486 F
1.2779 0.7378 9.7237 F
1.4415 -0.8323 12.1617 F
0.0000 1.6645 12.1617 F
```

Computed properties:
The space-group type is No. 166. The density of states at the Fermi level is 6.61 states/eV/f.u. As for the calculated total energy: -5.686 eV per atom. The total magnetization comes out at 7.000 μB/f.u.